LiLaIn4Pd2, relaxed, DFT PBE; total energy = -4.038 eV/atom; E_form = -516 meV per atom
1.0
2.3191 1.3389 9.3720
-2.3191 1.3389 9.3720
0.0000 -2.6778 9.3720
Li La In Pd
1 1 4 2
direct
0.0000 0.0000 0.0000 Li
0.5000 0.5000 0.5000 La
0.1007 0.1007 0.1007 In
0.3703 0.3703 0.3703 In
0.6297 0.6297 0.6297 In
0.8993 0.8993 0.8993 In
0.2679 0.2679 0.2679 Pd
0.7321 0.7321 0.7321 Pd



LiLaInPd3, relaxed, DFT PBE; total energy = -4.735 eV/atom; E_form = -542 meV per atom
1.0
2.9089 -6.1908 0.0000
2.9089 6.1908 0.0000
0.0000 0.0000 6.8341
Li La In Pd
2 2 2 6
direct
0.0824 0.9176 0.7500 Li
0.9176 0.0824 0.2500 Li
0.3319 0.6681 0.7500 La
0.6681 0.3319 0.2500 La
0.3670 0.6330 0.2500 In
0.6330 0.3670 0.7500 In
0.1488 0.8512 0.2500 Pd
0.2512 0.2512 0.0000 Pd
0.2512 0.2512 0.5000 Pd
0.7488 0.7488 0.0000 Pd
0.7488 0.7488 0.5000 Pd
0.8512 0.1488 0.7500 Pd



LiLaPmIn, relaxed, DFT PBE; total energy = -3.850 eV/atom; E_form = -267 meV per atom
1.0
0.0000 3.8730 3.8730
3.8730 0.0000 3.8730
3.8730 3.8730 0.0000
Li La Pm In
1 1 1 1
direct
0.0000 0.0000 0.0000 Li
0.7500 0.7500 0.7500 La
0.2500 0.2500 0.2500 Pm
0.5000 0.5000 0.5000 In



Li2La2PmIn2, relaxed, DFT PBE; total energy = -3.697 eV/atom; E_form = -281 meV per atom
1.0
2.4772 1.4302 8.9561
-2.4772 1.4302 8.9561
0.0000 -2.8604 8.9561
Li La Pm In
2 2 1 2
direct
0.1069 0.1069 0.1069 Li
0.8931 0.8931 0.8931 Li
0.3681 0.3681 0.3681 La
0.6319 0.6319 0.6319 La
0.5000 0.5000 0.5000 Pm
0.2336 0.2336 0.2336 In
0.7664 0.7664 0.7664 In



LiLaPm2In4, relaxed, DFT PBE; total energy = -3.839 eV/atom; E_form = -427 meV per atom
1.0
2.6666 1.5395 9.0546
-2.6666 1.5395 9.0546
0.0000 -3.0791 9.0546
Li La Pm In
1 1 2 4
direct
0.0000 0.0000 0.0000 Li
0.5000 0.5000 0.5000 La
0.2559 0.2559 0.2559 Pm
0.7441 0.7441 0.7441 Pm
0.1217 0.1217 0.1217 In
0.3728 0.3728 0.3728 In
0.6272 0.6272 0.6272 In
0.8783 0.8783 0.8783 In



LiLaPrIn, relaxed, DFT PBE; total energy = -3.859 eV/atom; E_form = -269 meV per atom
1.0
0.0000 3.8979 3.8979
3.8979 0.0000 3.8979
3.8979 3.8979 0.0000
Li La Pr In
1 1 1 1
direct
0.0000 0.0000 0.0000 Li
0.7500 0.7500 0.7500 La
0.2500 0.2500 0.2500 Pr
0.5000 0.5000 0.5000 In